Record 1
Computed, not measured: a relaxed structure of YCrHI2 at the PBE level of DFT.

Values from the calculation:
ρ: 5559 kg/m³
Total moment: 3.7 μB per formula unit
Volume: 23.64 Å³/atom
DFT total energy: -4.63 eV per atom
DOS at the Fermi energy: 2.99 states/eV/cell

a b c (Å): 5.683 5.683 3.660
angles (deg): 90.00 90.00 90.00
Atoms (fractional coordinates):
Y (0.000, 0.000, 0.000)
Cr (0.500, 0.500, 0.500)
H (0.500, 0.500, 0.000)
I (0.000, 0.500, 0.500)
I (0.500, 0.000, 0.500)

---

Record 2
Computed, not measured: a relaxed structure of Pr3HgCl3 at the PBE level of DFT.

Values from the calculation:
ρ: 5942 kg/m³
Total moment: 0.6 μB per formula unit
Volume: 29.13 Å³/atom
DOS at the Fermi energy: 9.39 states/eV/cell
Raw formation energy: -1.367 eV/atom

a b c (Å): 3.912 8.592 12.614
angles (deg): 88.57 81.08 76.85
Atoms (fractional coordinates):
Pr (0.093, 0.284, 0.029)
Pr (0.112, 0.616, 0.660)
Pr (0.290, 0.186, 0.734)
Pr (0.710, 0.814, 0.266)
Pr (0.888, 0.384, 0.340)
Pr (0.907, 0.716, 0.971)
Hg (0.395, 0.546, 0.164)
Hg (0.605, 0.454, 0.836)
Cl (0.054, 0.044, 0.349)
Cl (0.322, 0.958, 0.898)
Cl (0.326, 0.327, 0.521)
Cl (0.674, 0.673, 0.479)
Cl (0.678, 0.042, 0.102)
Cl (0.946, 0.956, 0.651)

---

Record 3
Computed, not measured: a relaxed structure of Ba2RhSe at the PBE level of DFT.

Values from the calculation:
ρ: 5913 kg/m³
Total moment: 0.9 μB per formula unit
Volume: 32.05 Å³/atom
DOS at the Fermi energy: 1.14 states/eV/cell
Raw formation energy: -0.824 eV/atom

a b c (Å): 6.323 6.323 4.971
angles (deg): 94.23 94.23 40.32
Atoms (fractional coordinates):
Ba (0.000, 0.000, 0.000)
Ba (0.738, 0.738, 0.514)
Rh (0.291, 0.291, 0.088)
Se (0.455, 0.455, 0.472)

---

Record 4
Computed, not measured: a relaxed structure of K3Cd2SnO6 at the PBE level of DFT.

Values from the calculation:
ρ: 4973 kg/m³
Total moment: 1.1 μB per formula unit
Volume: 15.50 Å³/atom
DOS at the Fermi energy: 8.09 states/eV/cell
Raw formation energy: -1.309 eV/atom

a b c (Å): 5.910 5.910 6.459
angles (deg): 98.70 98.70 120.12
Atoms (fractional coordinates):
K (0.000, 0.000, 0.000)
K (0.327, 0.673, 0.000)
K (0.673, 0.327, 0.000)
Cd (0.166, 0.834, 0.500)
Cd (0.834, 0.166, 0.500)
Sn (0.500, 0.500, 0.500)
O (0.133, 0.436, 0.311)
O (0.262, 0.262, 0.692)
O (0.436, 0.133, 0.311)
O (0.564, 0.867, 0.689)
O (0.738, 0.738, 0.308)
O (0.867, 0.564, 0.689)

---

Record 5
Computed, not measured: a relaxed structure of NaP2IrOs at the PBE level of DFT.

Values from the calculation:
ρ: 9271 kg/m³
Total moment: 0.0 μB per formula unit
Energy of formation: -0.45 eV/atom
Volume: 16.74 Å³/atom
DOS at the Fermi energy: 1.39 states/eV/cell

a b c (Å): 5.871 5.871 5.871
angles (deg): 139.75 139.75 58.23
Atoms (fractional coordinates):
Na (0.000, 0.000, 0.000)
P (0.367, 0.367, 0.000)
P (0.633, 0.633, 0.000)
Ir (0.250, 0.750, 0.500)
Os (0.750, 0.250, 0.500)

---

Record 6
Computed, not measured: a relaxed structure of CdAgSb at the PBE level of DFT.

Values from the calculation:
ρ: 7807 kg/m³
Total moment: 0.0 μB per formula unit
Volume: 24.25 Å³/atom
DOS at the Fermi energy: 1.17 states/eV/cell
Raw formation energy: 0.133 eV/atom

a b c (Å): 4.662 4.662 3.865
angles (deg): 90.00 90.00 120.00
Atoms (fractional coordinates):
Cd (0.000, 0.000, 0.000)
Ag (0.333, 0.667, 0.711)
Sb (0.667, 0.333, 0.456)

---

Record 7
Computed, not measured: a relaxed structure of BiSeBr2N at the PBE level of DFT.

Values from the calculation:
ρ: 7200 kg/m³
Total moment: 0.1 μB per formula unit
Volume: 21.30 Å³/atom
DOS at the Fermi energy: 3.32 states/eV/cell
Raw formation energy: 0.784 eV/atom
Relative energy among the computed polymorphs: 0 meV per atom

a b c (Å): 4.641 4.641 4.945
angles (deg): 90.00 90.00 90.00
Atoms (fractional coordinates):
Bi (0.000, 0.000, 0.000)
Se (0.500, 0.500, 0.000)
Br (0.000, 0.500, 0.500)
Br (0.500, 0.000, 0.500)
N (0.500, 0.500, 0.500)

---

Record 8
Computed, not measured: a relaxed structure of Re5Rh at the PBE level of DFT.

Values from the calculation:
ρ: 19302 kg/m³
Total moment: 0.0 μB per formula unit
Energy of formation: -0.07 eV/atom
Volume: 14.82 Å³/atom
DOS at the Fermi energy: 5.24 states/eV/cell
Relative energy among the computed polymorphs: 0 meV per atom

a b c (Å): 4.818 4.818 4.425
angles (deg): 90.00 90.00 120.00
Atoms (fractional coordinates):
Re (0.000, 0.666, 0.000)
Re (0.333, 0.667, 0.500)
Re (0.334, 0.334, 0.000)
Re (0.666, 0.000, 0.000)
Re (0.667, 0.333, 0.500)
Rh (0.000, 0.000, 0.500)

---

Record 9
Computed, not measured: a relaxed structure of LiBeNi2 at the PBE level of DFT.

Values from the calculation:
ρ: 5526 kg/m³
Total moment: 0.0 μB per formula unit
Energy of formation: -0.07 eV/atom
Volume: 10.02 Å³/atom
DOS at the Fermi energy: 1.80 states/eV/cell

a b c (Å): 2.400 3.776 4.553
angles (deg): 90.00 103.83 90.00
Atoms (fractional coordinates):
Li (0.000, 0.000, 0.000)
Be (0.002, 0.500, 0.712)
Ni (0.354, 0.000, 0.518)
Ni (0.656, 0.500, 0.217)

---

Record 10
Computed, not measured: a relaxed structure of ThFeCoNi3 at the PBE level of DFT.

Values from the calculation:
ρ: 10058 kg/m³
Total moment: 4.2 μB per formula unit
Energy of formation: -0.04 eV/atom
Volume: 14.39 Å³/atom
DOS at the Fermi energy: 12.65 states/eV/cell

a b c (Å): 7.032 7.032 5.121
angles (deg): 90.00 90.00 137.02
Atoms (fractional coordinates):
Th (0.184, 0.816, 0.750)
Th (0.816, 0.184, 0.250)
Fe (0.389, 0.611, 0.750)
Fe (0.611, 0.389, 0.250)
Co (0.144, 0.856, 0.250)
Co (0.856, 0.144, 0.750)
Ni (0.238, 0.238, 0.000)
Ni (0.238, 0.238, 0.500)
Ni (0.358, 0.642, 0.250)
Ni (0.642, 0.358, 0.750)
Ni (0.762, 0.762, 0.000)
Ni (0.762, 0.762, 0.500)

---

Record 11
Computed, not measured: a relaxed structure of CaTi2Sn at the PBE level of DFT.

Values from the calculation:
ρ: 4281 kg/m³
Total moment: 2.3 μB per formula unit
Energy of formation: 0.43 eV/atom
Volume: 24.68 Å³/atom
DOS at the Fermi energy: 9.58 states/eV/cell

a b c (Å): 6.471 6.471 6.471
angles (deg): 102.46 102.46 124.64
Atoms (fractional coordinates):
Ca (0.000, 0.000, 0.000)
Ca (0.750, 0.250, 0.500)
Ti (0.160, 0.625, 0.035)
Ti (0.375, 0.410, 0.535)
Ti (0.590, 0.125, 0.965)
Ti (0.875, 0.840, 0.465)
Sn (0.250, 0.750, 0.500)
Sn (0.500, 0.500, 0.000)

---

Record 12
Computed, not measured: a relaxed structure of TbPm2Sb2 at the PBE level of DFT.

Values from the calculation:
ρ: 7073 kg/m³
Total moment: 0.0 μB per formula unit
Volume: 32.51 Å³/atom
DOS at the Fermi energy: 10.51 states/eV/cell
Raw formation energy: -0.658 eV/atom

a b c (Å): 8.113 8.113 5.922
angles (deg): 111.02 111.02 97.12
Atoms (fractional coordinates):
Tb (0.102, 0.898, 0.750)
Tb (0.898, 0.102, 0.250)
Pm (0.223, 0.430, 0.087)
Pm (0.430, 0.223, 0.587)
Pm (0.570, 0.777, 0.413)
Pm (0.777, 0.570, 0.913)
Sb (0.161, 0.839, 0.250)
Sb (0.372, 0.628, 0.750)
Sb (0.628, 0.372, 0.250)
Sb (0.839, 0.161, 0.750)

---

Record 13
Computed, not measured: a relaxed structure of Be2NiGe2 at the PBE level of DFT.

Values from the calculation:
ρ: 5581 kg/m³
Total moment: 0.0 μB per formula unit
Energy of formation: 0.41 eV/atom
Volume: 13.21 Å³/atom
DOS at the Fermi energy: 2.25 states/eV/cell
Relative energy among the computed polymorphs: 107 meV per atom

a b c (Å): 5.934 5.934 5.934
angles (deg): 145.70 145.70 49.30
Atoms (fractional coordinates):
Be (0.250, 0.750, 0.500)
Be (0.750, 0.250, 0.500)
Ni (0.000, 0.000, 0.000)
Ge (0.389, 0.389, 0.000)
Ge (0.611, 0.611, 0.000)

---

Record 14
Computed, not measured: a relaxed structure of Al3Pt at the PBE level of DFT.

Values from the calculation:
ρ: 7284 kg/m³
Total moment: 0.0 μB per formula unit
Energy of formation: -0.42 eV/atom
Volume: 15.73 Å³/atom
DOS at the Fermi energy: 1.47 states/eV/cell

a b c (Å): 3.197 4.294 4.584
angles (deg): 90.00 90.00 90.00
Atoms (fractional coordinates):
Al (0.000, 0.000, 0.000)
Al (0.000, 0.500, 0.361)
Al (0.500, 0.000, 0.501)
Pt (0.500, 0.500, 0.825)